1.
# PBE-GGA Mn2NbAlH, optimized geometry
data_Mn2NbAlH
_chemical_formula_sum 'Mn2 Nb1 Al1 H1'
_space_group_name_H-M_alt 'P 1'
_space_group_IT_number 1
_space_group_name_Hall 'P 1'
_cell_length_a 3.8731
_cell_length_b 3.8731
_cell_length_c 3.9263
_cell_angle_alpha 90.00
_cell_angle_beta 90.00
_cell_angle_gamma 90.00
loop_
_atom_site_label
_atom_site_type_symbol
_atom_site_fract_x
_atom_site_fract_y
_atom_site_fract_z
Mn1 Mn 0.5000 0.0000 0.0000
Mn2 Mn 0.0000 0.5000 0.0000
Nb1 Nb 0.0000 0.0000 0.5000
H1 H 0.0000 0.0000 0.0000
Al1 Al 0.5000 0.5000 0.5000
# Space group = P4/mmm
# Crystal system = tetragonal
# V = 59 Å³/cell
# Total magnetic moment = 3.546 μB/f.u.
# Uncorrected energy = -0.53052 Ry per atom

2.
# PBE-GGA RbPtCl, optimized geometry
data_RbPtCl
_chemical_formula_sum 'Rb2 Pt2 Cl2'
_space_group_name_H-M_alt 'P 1'
_space_group_IT_number 1
_space_group_name_Hall 'P 1'
_cell_length_a 5.6122
_cell_length_b 5.6122
_cell_length_c 9.0983
_cell_angle_alpha 90.00
_cell_angle_beta 90.00
_cell_angle_gamma 120.00
loop_
_atom_site_label
_atom_site_type_symbol
_atom_site_fract_x
_atom_site_fract_y
_atom_site_fract_z
Pt1 Pt 0.0000 0.0000 0.5000
Pt2 Pt 0.0000 0.0000 0.0000
Cl1 Cl 0.0000 0.0000 0.7500
Cl2 Cl 0.0000 0.0000 0.2500
Rb1 Rb 0.3333 0.6667 0.2500
Rb2 Rb 0.6667 0.3333 0.7500
# Space group = P6_3/mmc
# Crystal system = hexagonal
# Energy above the lowest structure with this stoichiometry = 9.32 kcal/mol of atoms
# V = 248 Å³/cell
# Total magnetic moment = 0.000 μB/f.u.
# Uncorrected energy = -0.24407 Ry per atom

3.
# PBE-GGA HoZn12Ni7, optimized geometry
data_HoZn12Ni7
_chemical_formula_sum 'Ho1 Zn12 Ni7'
_space_group_name_H-M_alt 'P 1'
_space_group_IT_number 1
_space_group_name_Hall 'P 1'
_cell_length_a 7.5612
_cell_length_b 7.5612
_cell_length_c 7.5612
_cell_angle_alpha 109.47
_cell_angle_beta 109.47
_cell_angle_gamma 109.47
loop_
_atom_site_label
_atom_site_type_symbol
_atom_site_fract_x
_atom_site_fract_y
_atom_site_fract_z
Zn1 Zn 0.5836 0.3450 0.2385
Zn2 Zn 0.1065 0.3450 0.7615
Ni1 Ni 0.0000 0.0000 0.5000
Zn3 Zn 0.2385 0.5836 0.3450
Ni2 Ni 0.5000 0.5000 0.5000
Ni3 Ni 0.5000 0.0000 0.0000
Zn4 Zn 0.2385 0.8935 0.6550
Zn5 Zn 0.4164 0.6550 0.7615
Ni4 Ni 0.0000 0.5000 0.0000
Zn6 Zn 0.6550 0.2385 0.8935
Zn7 Zn 0.8935 0.6550 0.2385
Zn8 Zn 0.7615 0.4164 0.6550
Zn9 Zn 0.3450 0.2385 0.5836
Ho1 Ho 0.0000 0.0000 0.0000
Ni5 Ni 0.0000 0.5000 0.5000
Ni6 Ni 0.5000 0.0000 0.5000
Ni7 Ni 0.5000 0.5000 0.0000
Zn10 Zn 0.7615 0.1065 0.3450
Zn11 Zn 0.3450 0.7615 0.1065
Zn12 Zn 0.6550 0.7615 0.4164
# Space group = Im-3
# Crystal system = cubic
# Energy of formation from the pure elements = 167 meV per atom
# V = 333 Å³/cell
# Total magnetic moment = 0.000 μB/f.u.
# Uncorrected energy = -0.20945 Ry per atom

4.
# PBE-GGA MgHgSb2Ru, optimized geometry
data_MgHgSb2Ru
_chemical_formula_sum 'Mg1 Hg1 Sb2 Ru1'
_space_group_name_H-M_alt 'P 1'
_space_group_IT_number 1
_space_group_name_Hall 'P 1'
_cell_length_a 5.4925
_cell_length_b 4.9511
_cell_length_c 5.4925
_cell_angle_alpha 90.00
_cell_angle_beta 90.00
_cell_angle_gamma 90.00
loop_
_atom_site_label
_atom_site_type_symbol
_atom_site_fract_x
_atom_site_fract_y
_atom_site_fract_z
Sb1 Sb 0.0000 0.0000 0.5000
Sb2 Sb 0.5000 0.0000 0.0000
Mg1 Mg 0.0000 0.5000 0.0000
Hg1 Hg 0.0000 0.0000 0.0000
Ru1 Ru 0.5000 0.5000 0.5000
# Space group = P4/mmm
# Crystal system = tetragonal
# V = 149 Å³/cell
# Total magnetic moment = 2.194 μB/f.u.
# Uncorrected energy = -0.19158 Ry per atom

5.
# PBE-GGA HfP, optimized geometry
data_HfP
_chemical_formula_sum 'Hf8 P8'
_space_group_name_H-M_alt 'P 1'
_space_group_IT_number 1
_space_group_name_Hall 'P 1'
_cell_length_a 8.3202
_cell_length_b 8.3202
_cell_length_c 5.0880
_cell_angle_alpha 90.00
_cell_angle_beta 90.00
_cell_angle_gamma 90.00
loop_
_atom_site_label
_atom_site_type_symbol
_atom_site_fract_x
_atom_site_fract_y
_atom_site_fract_z
P1 P 0.2912 0.1032 0.5000
P2 P 0.2088 0.3968 0.0000
Hf1 Hf 0.3231 0.1137 0.0000
P3 P 0.6032 0.2088 0.0000
Hf2 Hf 0.8231 0.6137 0.5000
Hf3 Hf 0.1769 0.3863 0.5000
Hf4 Hf 0.6769 0.8863 0.0000
P4 P 0.7912 0.6032 0.0000
P5 P 0.1032 0.7088 0.5000
Hf5 Hf 0.3863 0.8231 0.5000
Hf6 Hf 0.1137 0.6769 0.0000
Hf7 Hf 0.6137 0.1769 0.5000
Hf8 Hf 0.8863 0.3231 0.0000
P6 P 0.8968 0.2912 0.5000
P7 P 0.3968 0.7912 0.0000
P8 P 0.7088 0.8968 0.5000
# Space group = I4/m
# Crystal system = tetragonal
# Energy of formation from the pure elements = -978 meV per atom
# V = 352 Å³/cell
# Total magnetic moment = 0.000 μB/f.u.
# Uncorrected energy = -0.63648 Ry per atom

6.
# PBE-GGA NaFeBr3, optimized geometry
data_NaFeBr3
_chemical_formula_sum 'Na2 Fe2 Br6'
_space_group_name_H-M_alt 'P 1'
_space_group_IT_number 1
_space_group_name_Hall 'P 1'
_cell_length_a 4.1340
_cell_length_b 6.9476
_cell_length_c 12.1944
_cell_angle_alpha 106.55
_cell_angle_beta 90.00
_cell_angle_gamma 90.00
loop_
_atom_site_label
_atom_site_type_symbol
_atom_site_fract_x
_atom_site_fract_y
_atom_site_fract_z
Fe1 Fe 0.7500 0.5313 0.7559
Fe2 Fe 0.2500 0.7754 0.2441
Br1 Br 0.2500 0.7066 0.4305
Na1 Na 0.2500 0.0368 0.6512
Br2 Br 0.7500 0.6019 0.1517
Br3 Br 0.2500 0.1099 0.2255
Br4 Br 0.7500 0.2762 0.5695
Br5 Br 0.7500 0.8844 0.7745
Na2 Na 0.7500 0.3856 0.3488
Br6 Br 0.2500 0.4502 0.8483
# Space group = Ama2
# Crystal system = orthorhombic
# Energy above the lowest structure with this stoichiometry = 0.00 kcal/mol of atoms
# V = 336 Å³/cell
# Total magnetic moment = 4.000 μB/f.u.
# Uncorrected energy = -0.27983 Ry per atom

7.
# PBE-GGA Si2AgH, optimized geometry
data_Si2AgH
_chemical_formula_sum 'Si4 Ag2 H2'
_space_group_name_H-M_alt 'P 1'
_space_group_IT_number 1
_space_group_name_Hall 'P 1'
_cell_length_a 4.5209
_cell_length_b 4.5209
_cell_length_c 6.7236
_cell_angle_alpha 70.35
_cell_angle_beta 70.35
_cell_angle_gamma 90.00
loop_
_atom_site_label
_atom_site_type_symbol
_atom_site_fract_x
_atom_site_fract_y
_atom_site_fract_z
Si1 Si 0.2695 0.6250 0.2500
Si2 Si 0.8750 0.7305 0.7500
Ag1 Ag 0.0000 0.0000 0.0000
H1 H 0.5000 0.5000 0.0000
H2 H 0.2500 0.7500 0.5000
Si3 Si 0.4805 0.1250 0.2500
Ag2 Ag 0.7500 0.2500 0.5000
Si4 Si 0.3750 0.5195 0.7500
# Space group = I-42d
# Crystal system = tetragonal
# Energy above the lowest structure with this stoichiometry = 0.00 kcal/mol of atoms
# V = 121 Å³/cell
# Total magnetic moment = 0.000 μB/f.u.
# Uncorrected energy = -0.27116 Ry per atom

8.
# PBE-GGA Y3Ti2Al9, optimized geometry
data_Y3Ti2Al9
_chemical_formula_sum 'Y3 Ti2 Al9'
_space_group_name_H-M_alt 'P 1'
_space_group_IT_number 1
_space_group_name_Hall 'P 1'
_cell_length_a 4.3453
_cell_length_b 8.4674
_cell_length_c 8.4674
_cell_angle_alpha 69.26
_cell_angle_beta 75.13
_cell_angle_gamma 75.13
loop_
_atom_site_label
_atom_site_type_symbol
_atom_site_fract_x
_atom_site_fract_y
_atom_site_fract_z
Al1 Al 0.6564 0.9823 0.7050
Y1 Y 0.2968 0.7032 0.7032
Al2 Al 0.8659 0.4177 0.8504
Al3 Al 0.0000 0.5000 0.5000
Ti1 Ti 0.5000 0.6736 0.3264
Al4 Al 0.3436 0.2950 0.0177
Y2 Y 0.7032 0.2968 0.2968
Al5 Al 0.8659 0.8504 0.4177
Al6 Al 0.1341 0.1496 0.5823
Al7 Al 0.6564 0.7050 0.9823
Ti2 Ti 0.5000 0.3264 0.6736
Al8 Al 0.1341 0.5823 0.1496
Al9 Al 0.3436 0.0177 0.2950
Y3 Y 0.0000 0.0000 0.0000
# Space group = Immm
# Crystal system = orthorhombic
# Energy of formation from the pure elements = -415 meV per atom
# V = 277 Å³/cell
# Total magnetic moment = 0.000 μB/f.u.
# Uncorrected energy = -0.39203 Ry per atom

9.
# PBE-GGA CePa2Sb3, optimized geometry
data_CePa2Sb3
_chemical_formula_sum 'Ce4 Pa8 Sb12'
_space_group_name_H-M_alt 'P 1'
_space_group_IT_number 1
_space_group_name_Hall 'P 1'
_cell_length_a 6.2191
_cell_length_b 8.8028
_cell_length_c 13.1919
_cell_angle_alpha 90.00
_cell_angle_beta 90.00
_cell_angle_gamma 89.99
loop_
_atom_site_label
_atom_site_type_symbol
_atom_site_fract_x
_atom_site_fract_y
_atom_site_fract_z
Pa1 Pa 0.2497 0.3759 0.0840
Sb1 Sb 0.2503 0.1206 0.5853
Sb2 Sb 0.2504 0.6304 0.5853
Ce1 Ce 0.2496 0.3750 0.4193
Ce2 Ce 0.7504 0.1250 0.9193
Pa2 Pa 0.7503 0.6241 0.9160
Pa3 Pa 0.2508 0.8752 0.7529
Ce3 Ce 0.7504 0.6250 0.5807
Sb3 Sb 0.7508 0.3746 0.7494
Sb4 Sb 0.2492 0.6254 0.2506
Sb5 Sb 0.7496 0.8696 0.0853
Sb6 Sb 0.2492 0.1254 0.2494
Pa4 Pa 0.7492 0.1248 0.2471
Sb7 Sb 0.2503 0.6206 0.9147
Sb8 Sb 0.7496 0.3696 0.4147
Sb9 Sb 0.2504 0.1304 0.9147
Sb10 Sb 0.7508 0.8746 0.7506
Pa5 Pa 0.7503 0.1241 0.5840
Ce4 Ce 0.2496 0.8750 0.0807
Pa6 Pa 0.2497 0.8759 0.4160
Sb11 Sb 0.7497 0.3794 0.0853
Pa7 Pa 0.2508 0.3752 0.7471
Sb12 Sb 0.7497 0.8794 0.4147
Pa8 Pa 0.7492 0.6248 0.2529
# Space group = P2_1/c
# Crystal system = monoclinic
# V = 722 Å³/cell
# Total magnetic moment = 0.007 μB/f.u.
# Uncorrected energy = -0.50333 Ry per atom

10.
# PBE-GGA MgMo2As, optimized geometry
data_MgMo2As
_chemical_formula_sum 'Mg1 Mo2 As1'
_space_group_name_H-M_alt 'P 1'
_space_group_IT_number 1
_space_group_name_Hall 'P 1'
_cell_length_a 8.8455
_cell_length_b 8.8455
_cell_length_c 8.8455
_cell_angle_alpha 19.49
_cell_angle_beta 19.49
_cell_angle_gamma 19.49
loop_
_atom_site_label
_atom_site_type_symbol
_atom_site_fract_x
_atom_site_fract_y
_atom_site_fract_z
As1 As 0.2500 0.2500 0.2500
Mg1 Mg 0.7500 0.7500 0.7500
Mo1 Mo 0.5086 0.5086 0.5086
Mo2 Mo 0.9914 0.9914 0.9914
# Space group = R-3m
# Crystal system = trigonal
# Energy of formation from the pure elements = 266 meV per atom
# Energy above the lowest structure with this stoichiometry = 6.02 kcal/mol of atoms
# V = 67 Å³/cell
# Total magnetic moment = 0.000 μB/f.u.
# Uncorrected energy = -0.49320 Ry per atom

11.
# PBE-GGA NdPaB2O8, optimized geometry
data_NdPaB2O8
_chemical_formula_sum 'Nd1 Pa1 B2 O8'
_space_group_name_H-M_alt 'P 1'
_space_group_IT_number 1
_space_group_name_Hall 'P 1'
_cell_length_a 4.7233
_cell_length_b 4.7233
_cell_length_c 6.5897
_cell_angle_alpha 111.00
_cell_angle_beta 111.00
_cell_angle_gamma 90.00
loop_
_atom_site_label
_atom_site_type_symbol
_atom_site_fract_x
_atom_site_fract_y
_atom_site_fract_z
Nd1 Nd 0.7500 0.2500 0.5000
O1 O 0.5653 0.7268 0.6483
O2 O 0.2732 0.9169 0.3517
O3 O 0.1904 0.5567 0.8709
O4 O 0.0785 0.4347 0.3517
O5 O 0.6806 0.3142 0.8709
O6 O 0.4433 0.3194 0.1291
B1 B 0.2500 0.7500 0.5000
O7 O 0.6858 0.8096 0.1291
Pa1 Pa 0.0000 0.0000 0.0000
O8 O 0.0831 0.9215 0.6483
B2 B 0.5000 0.5000 0.0000
# Space group = I-4
# Crystal system = tetragonal
# V = 127 Å³/cell
# Total magnetic moment = 2.049 μB/f.u.
# Uncorrected energy = -0.59991 Ry per atom

12.
# PBE-GGA Sm2Er3Cd2, optimized geometry
data_Sm2Er3Cd2
_chemical_formula_sum 'Sm2 Er3 Cd2'
_space_group_name_H-M_alt 'P 1'
_space_group_IT_number 1
_space_group_name_Hall 'P 1'
_cell_length_a 5.4000
_cell_length_b 5.4010
_cell_length_c 8.5623
_cell_angle_alpha 108.36
_cell_angle_beta 90.00
_cell_angle_gamma 119.99
loop_
_atom_site_label
_atom_site_type_symbol
_atom_site_fract_x
_atom_site_fract_y
_atom_site_fract_z
Er1 Er 0.6555 0.3110 0.4664
Sm1 Sm 0.0750 0.1499 0.7256
Sm2 Sm 0.9250 0.8501 0.2744
Cd1 Cd 0.2131 0.4263 0.1395
Er2 Er 0.5000 0.0000 0.0000
Er3 Er 0.3445 0.6890 0.5336
Cd2 Cd 0.7869 0.5737 0.8605
# Space group = R-3m
# Crystal system = trigonal
# Energy of formation from the pure elements = -144 meV per atom
# Energy above the lowest structure with this stoichiometry = 0.00 kcal/mol of atoms
# V = 201 Å³/cell
# Total magnetic moment = 0.000 μB/f.u.
# Uncorrected energy = -0.27263 Ry per atom